No. 1
DFT (PBE) results for a relaxed structure of Pm3Sm2HoBi6.

a b c (Å): 19.8361 4.5540 9.1024
angles (deg): 90.00 103.22 90.00
Space group C2/m (No. 12)
Inequivalent atoms, fractional coordinates:
1 Pm 0.0000 0.0000 0.0000 (multiplicity 2)
2 Pm 0.1676 0.5000 0.3335 (multiplicity 4)
3 Sm 0.1661 0.5000 0.8327 (multiplicity 4)
4 Ho 0.0000 0.0000 0.5000 (multiplicity 2)
5 Bi 0.0003 0.5000 0.2556 (multiplicity 4)
6 Bi 0.1644 0.0000 0.5828 (multiplicity 4)
7 Bi 0.1671 0.0000 0.0824 (multiplicity 4)

Summary:
DOS at the Fermi energy in states/eV per cell: 4.060
Energy of formation from the pure elements in eV/f.u.: -11.0

***

No. 2
DFT (PBE) results for a relaxed structure of Pm2SmHo3Bi6.

a b c (Å): 19.6762 4.5176 9.0306
angles (deg): 90.00 103.15 90.00
Space group C2/m (No. 12)
Inequivalent atoms, fractional coordinates:
1 Pm 0.1666 0.0000 0.3331 (multiplicity 4)
2 Sm 0.0000 0.5000 0.0000 (multiplicity 2)
3 Ho 0.0000 0.5000 0.5000 (multiplicity 2)
4 Ho 0.1669 0.0000 0.8333 (multiplicity 4)
5 Bi 0.0019 0.0000 0.7465 (multiplicity 4)
6 Bi 0.1649 0.5000 0.5876 (multiplicity 4)
7 Bi 0.1681 0.5000 0.0785 (multiplicity 4)

Summary:
DOS at the Fermi energy in states/eV per cell: 4.024
Energy of formation from the pure elements in eV/f.u.: -10.6

***

No. 3
DFT (PBE) results for a relaxed structure of PmSm2HoBi4.

a b c (Å): 7.8616 4.5421 7.8635
angles (deg): 90.00 109.47 90.00
Space group P2/m (No. 10)
Inequivalent atoms, fractional coordinates:
1 Pm 0.0000 0.0000 0.0000 (multiplicity 1)
2 Sm 0.0000 0.5000 0.5000 (multiplicity 1)
3 Sm 0.5000 0.0000 0.5000 (multiplicity 1)
4 Ho 0.5000 0.5000 0.0000 (multiplicity 1)
5 Bi 0.2532 0.5000 0.2486 (multiplicity 2)
6 Bi 0.2548 0.0000 0.7539 (multiplicity 2)

Summary:
DOS at the Fermi energy in states/eV per cell: 1.208
Energy of formation from the pure elements in eV/f.u.: -7.2

***

No. 4
DFT (PBE) results for a relaxed structure of PmSm2Ho3Bi6.

a b c (Å): 19.6627 4.5143 9.0239
angles (deg): 90.00 103.15 90.00
Space group C2/m (No. 12)
Inequivalent atoms, fractional coordinates:
1 Pm 0.0000 0.0000 0.0000 (multiplicity 2)
2 Sm 0.1667 0.5000 0.3331 (multiplicity 4)
3 Ho 0.0000 0.0000 0.5000 (multiplicity 2)
4 Ho 0.1665 0.5000 0.8329 (multiplicity 4)
5 Bi 0.0014 0.5000 0.7453 (multiplicity 4)
6 Bi 0.1652 0.0000 0.5868 (multiplicity 4)
7 Bi 0.1686 0.0000 0.0796 (multiplicity 4)

Summary:
DOS at the Fermi energy in states/eV per cell: 4.021
Energy of formation from the pure elements in eV/f.u.: -10.6

***

No. 5
DFT (PBE) results for a relaxed structure of PmSmHo2Bi4.

a b c (Å): 7.8163 4.5189 7.8222
angles (deg): 90.00 109.48 90.00
Space group P2/m (No. 10)
Inequivalent atoms, fractional coordinates:
1 Pm 0.0000 0.0000 0.0000 (multiplicity 1)
2 Sm 0.0000 0.5000 0.5000 (multiplicity 1)
3 Ho 0.5000 0.0000 0.5000 (multiplicity 1)
4 Ho 0.5000 0.5000 0.0000 (multiplicity 1)
5 Bi 0.2572 0.0000 0.7518 (multiplicity 2)
6 Bi 0.2575 0.5000 0.2531 (multiplicity 2)

Summary:
DOS at the Fermi energy in states/eV per cell: 1.238
Energy of formation from the pure elements in eV/f.u.: -7.1

***

No. 6
DFT (PBE) results for a relaxed structure of Pm2SmHoBi5.

a b c (Å): 5.5165 5.5165 11.9082
angles (deg): 90.00 90.00 90.00
Space group P4/mmm (No. 123)
Inequivalent atoms, fractional coordinates:
1 Pm 0.0000 0.0000 0.2252 (multiplicity 2)
2 Sm 0.5000 0.5000 0.0000 (multiplicity 1)
3 Ho 0.5000 0.5000 0.5000 (multiplicity 1)
4 Bi 0.0000 0.0000 0.5000 (multiplicity 1)
5 Bi 0.0000 0.5000 0.0000 (multiplicity 2)
6 Bi 0.5000 0.5000 0.2563 (multiplicity 2)

Summary:
DOS at the Fermi energy in states/eV per cell: 5.829
Energy of formation from the pure elements in eV/f.u.: -0.2